(1)
A plane-wave DFT calculation with PBEsol was carried out for an optimized crystal structure of Fe3Re.

Calculated values
* space group: No. 139
* ΔE_f: 0.019 eV per atom
* E: -80.3 eV for the cell shown
* crystal system: tetragonal

Geometry as POSCAR:
```
Fe3Re
1.0
-1.7817 1.7817 7.0159
1.7817 -1.7817 7.0159
1.7817 1.7817 -7.0159
Fe Re
6 2
direct
0.0000 0.5000 0.5000 Fe
0.1242 0.1242 0.0000 Fe
0.2500 0.7500 0.5000 Fe
0.5000 0.0000 0.5000 Fe
0.7500 0.2500 0.5000 Fe
0.8758 0.8758 0.0000 Fe
0.3733 0.3733 0.0000 Re
0.6267 0.6267 0.0000 Re
```


(2)
A plane-wave DFT calculation with PBEsol was carried out for an optimized crystal structure of Si2RhBr.

Calculated values
* space group: No. 160
* E above lowest polymorph: 0 meV/atom
* raw formation energy: -0.001 eV/atom
* E: -21.5 eV for the cell shown
* crystal system: trigonal

Geometry as POSCAR:
```
Si2RhBr
1.0
1.8455 1.0655 6.2003
-1.8455 1.0655 6.2003
0.0000 -2.1310 6.2003
Si Rh Br
2 1 1
direct
0.0000 0.0000 0.0000 Si
0.2718 0.2718 0.2718 Si
0.7229 0.7229 0.7229 Rh
0.4815 0.4815 0.4815 Br
```